(1)
Entry from Alexandria: crystalline Sn3SbAu3 at its relaxed geometry (GGA-PBE).

Lattice parameters (Å, degrees): 7.8816 5.6271 8.2884 90.00 98.58 90.00
Sites, in units of the cell vectors:
Sn 0.0982 0.2500 0.1168
Sn 0.0985 0.2500 0.7019
Sn 0.3682 0.7500 0.8556
Sn 0.6318 0.2500 0.1444
Sn 0.9015 0.7500 0.2981
Sn 0.9018 0.7500 0.8832
Sb 0.4141 0.7500 0.4658
Sb 0.5859 0.2500 0.5342
Au 0.0836 0.7500 0.6081
Au 0.1938 0.7500 0.1418
Au 0.4389 0.2500 0.8283
Au 0.5611 0.7500 0.1717
Au 0.8062 0.2500 0.8582
Au 0.9164 0.2500 0.3919

Properties
- Raw formation energy: -64 meV/atom
- E_tot: -3.773 eV per atom
- Relative energy among the computed polymorphs: 0.000 kcal/mol of atoms
- Crystal system: monoclinic

(2)
Entry from Alexandria: crystalline Tb3HoGa3 at its relaxed geometry (GGA-PBE).

Lattice parameters (Å, degrees): 9.1353 9.1353 4.8107 90.00 90.00 120.00
Sites, in units of the cell vectors:
Tb 0.0144 0.2547 0.2500
Tb 0.2404 0.9856 0.2500
Tb 0.2547 0.2404 0.7500
Tb 0.7453 0.7596 0.2500
Tb 0.7596 0.0144 0.7500
Tb 0.9856 0.7453 0.7500
Ho 0.3333 0.6667 0.7500
Ho 0.6667 0.3333 0.2500
Ga 0.0580 0.6078 0.2500
Ga 0.3922 0.4502 0.2500
Ga 0.4502 0.0580 0.7500
Ga 0.5498 0.9420 0.2500
Ga 0.6078 0.5498 0.7500
Ga 0.9420 0.3922 0.7500

Properties
- E_tot: -4.349 eV per atom
- Crystal system: hexagonal
- Calculated formation energy: -0.414 eV per atom

(3)
Entry from Alexandria: crystalline SrMnW2 at its relaxed geometry (GGA-PBE).

Lattice parameters (Å, degrees): 6.1435 6.1435 6.1435 154.09 131.53 55.77
Sites, in units of the cell vectors:
Sr 0.0000 0.0000 0.0000
Mn 0.5000 0.5000 0.0000
W 0.2922 0.7922 0.5000
W 0.7078 0.2078 0.5000

Properties
- E_tot: -8.238 eV per atom
- Relative energy among the computed polymorphs: 3.689 kcal/mol of atoms
- Crystal system: orthorhombic
- Calculated formation energy: 0.951 eV per atom